Version P
Crystalline Hf2SiRu at its relaxed geometry. Source: Alexandria via LeMat-Bulk, functional PBE.

Geometry as POSCAR:
```
Hf2SiRu
1.0
7.195 0.000 0.000
0.000 7.195 0.000
0.000 0.000 5.814
Hf Si Ru
8 4 4
direct
0.236 0.250 0.125
0.250 0.736 0.375
0.250 0.764 0.875
0.264 0.250 0.625
0.736 0.750 0.625
0.750 0.236 0.875
0.750 0.264 0.375
0.764 0.750 0.125
0.000 0.000 0.500
0.000 0.500 0.750
0.500 0.000 0.250
0.500 0.500 0.000
0.000 0.000 0.000
0.000 0.500 0.250
0.500 0.000 0.750
0.500 0.500 0.500
```

## Properties
- density of states at the Fermi level (states/eV per cell) = 17.54

***

Version Q
Crystalline Hf2SiRu at its relaxed geometry. Source: Alexandria via LeMat-Bulk, functional PBE.

Geometry as POSCAR:
```
Hf2SiRu
1.0
6.535 0.000 0.000
0.000 6.535 0.000
0.000 0.000 6.535
Hf Si Ru
8 4 4
direct
0.250 0.250 0.250
0.250 0.250 0.750
0.250 0.750 0.250
0.250 0.750 0.750
0.750 0.250 0.250
0.750 0.250 0.750
0.750 0.750 0.250
0.750 0.750 0.750
0.000 0.000 0.000
0.000 0.500 0.500
0.500 0.000 0.500
0.500 0.500 0.000
0.000 0.000 0.500
0.000 0.500 0.000
0.500 0.000 0.000
0.500 0.500 0.500
```

## Properties
- density of states at the Fermi level (states/eV per cell) = 16.68

***

Energy above the most stable structure, in eV/atom: version P 0.403; version Q 0.000

***

Version P
Crystalline HfSiRu3 at its relaxed geometry. Source: Alexandria via LeMat-Bulk, functional PBE.

Geometry as POSCAR:
```
HfSiRu3
1.0
4.360 0.000 0.000
0.000 4.360 0.000
0.000 0.000 4.360
Hf Si Ru
1 1 3
direct
0.000 0.000 0.000
0.500 0.500 0.500
0.000 0.500 0.500
0.500 0.000 0.500
0.500 0.500 0.000
```

## Properties
- density of states at the Fermi level (states/eV per cell) = 2.25

***

Version Q
Crystalline HfSiRu3 at its relaxed geometry. Source: Alexandria via LeMat-Bulk, functional PBE.

Geometry as POSCAR:
```
HfSiRu3
1.0
4.720 0.000 0.000
0.000 4.720 0.000
0.000 0.000 4.720
Hf Si Ru
1 1 3
direct
0.000 0.000 0.000
0.500 0.500 0.500
0.000 0.000 0.500
0.000 0.500 0.000
0.500 0.000 0.000
```

## Properties
- density of states at the Fermi level (states/eV per cell) = 9.95

***

Energy above the most stable structure, in eV/atom: version P 0.000; version Q 1.759

***

Version P
Crystalline SrHf2Ru2 at its relaxed geometry. Source: Alexandria via LeMat-Bulk, functional PBE.

Geometry as POSCAR:
```
SrHf2Ru2
1.0
4.558 0.000 0.000
0.000 4.558 0.000
0.000 0.000 11.553
Sr Hf Ru
2 4 4
direct
0.000 0.000 0.000
0.500 0.500 0.500
0.000 0.000 0.355
0.000 0.000 0.645
0.500 0.500 0.145
0.500 0.500 0.855
0.000 0.500 0.250
0.000 0.500 0.750
0.500 0.000 0.250
0.500 0.000 0.750
```

## Properties
- density of states at the Fermi level (states/eV per cell) = 7.50

***

Version Q
Crystalline SrHf2Ru2 at its relaxed geometry. Source: Alexandria via LeMat-Bulk, functional PBE.

Geometry as POSCAR:
```
SrHf2Ru2
1.0
4.426 0.000 0.000
0.000 4.426 0.000
0.000 0.000 11.567
Sr Hf Ru
2 4 4
direct
0.000 0.000 0.000
0.500 0.500 0.500
0.000 0.500 0.250
0.000 0.500 0.750
0.500 0.000 0.250
0.500 0.000 0.750
0.000 0.000 0.384
0.000 0.000 0.616
0.500 0.500 0.116
0.500 0.500 0.884
```

## Properties
- density of states at the Fermi level (states/eV per cell) = 4.53

***

Energy above the most stable structure, in eV/atom: version P 0.282; version Q 0.000

***

Version P
Crystalline Sr2HfRu at its relaxed geometry. Source: Alexandria via LeMat-Bulk, functional PBE.

Geometry as POSCAR:
```
Sr2HfRu
1.0
7.554 0.000 0.000
0.000 7.554 0.000
0.000 0.000 7.554
Sr Hf Ru
8 4 4
direct
0.250 0.250 0.250
0.250 0.250 0.750
0.250 0.750 0.250
0.250 0.750 0.750
0.750 0.250 0.250
0.750 0.250 0.750
0.750 0.750 0.250
0.750 0.750 0.750
0.000 0.000 0.000
0.000 0.500 0.500
0.500 0.000 0.500
0.500 0.500 0.000
0.000 0.000 0.500
0.000 0.500 0.000
0.500 0.000 0.000
0.500 0.500 0.500
```

## Properties
- density of states at the Fermi level (states/eV per cell) = 20.76

***

Version Q
Crystalline Sr2HfRu at its relaxed geometry. Source: Alexandria via LeMat-Bulk, functional PBE.

Geometry as POSCAR:
```
Sr2HfRu
1.0
11.552 0.000 0.000
0.000 11.552 0.000
0.000 0.000 4.827
Sr Hf Ru
8 4 4
direct
0.089 0.250 0.125
0.250 0.589 0.375
0.250 0.911 0.875
0.411 0.250 0.625
0.589 0.750 0.625
0.750 0.089 0.875
0.750 0.411 0.375
0.911 0.750 0.125
0.000 0.000 0.500
0.000 0.500 0.750
0.500 0.000 0.250
0.500 0.500 0.000
0.000 0.000 0.000
0.000 0.500 0.250
0.500 0.000 0.750
0.500 0.500 0.500
```

## Properties
- density of states at the Fermi level (states/eV per cell) = 22.39

***

Energy above the most stable structure, in eV/atom: version P 0.493; version Q 0.000

***

Version P
Crystalline Sr2Hf2Ru at its relaxed geometry. Source: Alexandria via LeMat-Bulk, functional PBE.

Geometry as POSCAR:
```
Sr2Hf2Ru
1.0
3.937 0.000 0.000
0.000 3.937 0.000
0.000 0.000 16.810
Sr Hf Ru
4 4 2
direct
0.000 0.500 0.250
0.000 0.500 0.750
0.500 0.000 0.250
0.500 0.000 0.750
0.000 0.000 0.077
0.000 0.000 0.923
0.500 0.500 0.423
0.500 0.500 0.577
0.000 0.000 0.500
0.500 0.500 0.000
```

## Properties
- density of states at the Fermi level (states/eV per cell) = 14.52

***

Version Q
Crystalline Sr2Hf2Ru at its relaxed geometry. Source: Alexandria via LeMat-Bulk, functional PBE.

Geometry as POSCAR:
```
Sr2Hf2Ru
1.0
6.845 0.000 0.000
0.000 6.845 0.000
0.000 0.000 5.997
Sr Hf Ru
4 4 2
direct
0.183 0.317 0.000
0.317 0.817 0.000
0.683 0.183 0.000
0.817 0.683 0.000
0.160 0.660 0.500
0.340 0.160 0.500
0.660 0.840 0.500
0.840 0.340 0.500
0.000 0.000 0.500
0.500 0.500 0.500
```

## Properties
- density of states at the Fermi level (states/eV per cell) = 8.51

***

Energy above the most stable structure, in eV/atom: version P 0.989; version Q 0.000

***

Version P
Crystalline SrHfRu2 at its relaxed geometry. Source: Alexandria via LeMat-Bulk, functional PBE.

Geometry as POSCAR:
```
SrHfRu2
1.0
6.741 0.000 0.000
0.000 6.741 0.000
0.000 0.000 6.741
Sr Hf Ru
4 4 8
direct
0.000 0.000 0.000
0.000 0.500 0.500
0.500 0.000 0.500
0.500 0.500 0.000
0.000 0.000 0.500
0.000 0.500 0.000
0.500 0.000 0.000
0.500 0.500 0.500
0.250 0.250 0.250
0.250 0.250 0.750
0.250 0.750 0.250
0.250 0.750 0.750
0.750 0.250 0.250
0.750 0.250 0.750
0.750 0.750 0.250
0.750 0.750 0.750
```

## Properties
- density of states at the Fermi level (states/eV per cell) = 11.28

***

Version Q
Crystalline SrHfRu2 at its relaxed geometry. Source: Alexandria via LeMat-Bulk, functional PBE.

Geometry as POSCAR:
```
SrHfRu2
1.0
4.991 0.000 0.000
0.000 4.991 0.000
0.000 0.000 17.538
Sr Hf Ru
4 4 8
direct
0.000 0.000 0.000
0.000 0.500 0.250
0.500 0.000 0.750
0.500 0.500 0.500
0.000 0.000 0.500
0.000 0.500 0.750
0.500 0.000 0.250
0.500 0.500 0.000
0.017 0.250 0.625
0.250 0.517 0.875
0.250 0.983 0.375
0.483 0.250 0.125
0.517 0.750 0.125
0.750 0.017 0.375
0.750 0.483 0.875
0.983 0.750 0.625
```

## Properties
- density of states at the Fermi level (states/eV per cell) = 13.20

***

Energy above the most stable structure, in eV/atom: version P 0.000; version Q 0.406

***

Version P
Crystalline HfTa2Ru2 at its relaxed geometry. Source: Alexandria via LeMat-Bulk, functional PBE.

Geometry as POSCAR:
```
HfTa2Ru2
1.0
4.136 0.000 0.000
0.000 4.136 0.000
0.000 0.000 11.307
Hf Ta Ru
2 4 4
direct
0.000 0.000 0.000
0.500 0.500 0.500
0.000 0.000 0.379
0.000 0.000 0.621
0.500 0.500 0.121
0.500 0.500 0.879
0.000 0.500 0.250
0.000 0.500 0.750
0.500 0.000 0.250
0.500 0.000 0.750
```

## Properties
- density of states at the Fermi level (states/eV per cell) = 13.79

***

Version Q
Crystalline HfTa2Ru2 at its relaxed geometry. Source: Alexandria via LeMat-Bulk, functional PBE.

Geometry as POSCAR:
```
HfTa2Ru2
1.0
4.285 0.000 0.000
0.000 4.285 0.000
0.000 0.000 10.494
Hf Ta Ru
2 4 4
direct
0.000 0.000 0.000
0.500 0.500 0.500
0.000 0.500 0.250
0.000 0.500 0.750
0.500 0.000 0.250
0.500 0.000 0.750
0.000 0.000 0.384
0.000 0.000 0.616
0.500 0.500 0.116
0.500 0.500 0.884
```

## Properties
- density of states at the Fermi level (states/eV per cell) = 7.60

***

Version R
Crystalline HfTa2Ru2 at its relaxed geometry. Source: Alexandria via LeMat-Bulk, functional PBE.

Geometry as POSCAR:
```
HfTa2Ru2
1.0
7.524 0.000 0.000
0.000 7.524 0.000
0.000 0.000 3.098
Hf Ta Ru
2 4 4
direct
0.000 0.000 0.000
0.500 0.500 0.000
0.162 0.338 0.500
0.338 0.838 0.500
0.662 0.162 0.500
0.838 0.662 0.500
0.137 0.637 0.000
0.363 0.137 0.000
0.637 0.863 0.000
0.863 0.363 0.000
```

## Properties
- density of states at the Fermi level (states/eV per cell) = 10.21

***

Energy above the most stable structure, in eV/atom: version P 0.383; version Q 0.089; version R 0.000